[1]
NaLa2AgSe4 | the Alexandria database | GGA-PBE | relaxed; E_tot = -39.9 eV/cell; symmetry = P2/m (10); N(E_F) = 0.00 states/eV/f.u.
1.0
7.1100 0.0000 0.0000
0.0000 4.3830 0.0000
-2.8311 0.0000 7.0661
Na La Ag Se
1 2 1 4
direct
0.0000 0.0000 0.0000
0.5000 0.0000 0.5000
0.5000 0.5000 0.0000
0.0000 0.5000 0.5000
0.2484 0.0000 0.7450
0.2558 0.5000 0.2489
0.7442 0.5000 0.7511
0.7516 0.0000 0.2550

---

[2]
Dy2ZnAu2 | the Alexandria database | GGA-PBE | relaxed; symmetry = Cmc2_1 (36); energy relative to the elements = -295 kJ/mol of formula units; N(E_F) = 3.49 states/eV/f.u.
1.0
1.9926 -8.4306 0.0000
1.9926 8.4306 0.0000
0.0000 0.0000 7.1844
Dy Zn Au
4 2 4
direct
0.0290 0.9710 0.5000
0.1979 0.8021 0.9170
0.8021 0.1979 0.4170
0.9710 0.0290 0.0000
0.4074 0.5926 0.6786
0.5926 0.4074 0.1786
0.1830 0.8170 0.3158
0.4271 0.5729 0.2954
0.5729 0.4271 0.7954
0.8170 0.1830 0.8158

---

[3]
Ho6ZrIn | the Alexandria database | GGA-PBE | relaxed; symmetry = P4/mmm (123); energy relative to the elements = -78 kJ/mol of formula units; N(E_F) = 7.84 states/eV/f.u.
1.0
4.8289 0.0000 0.0000
0.0000 4.8289 0.0000
0.0000 0.0000 9.7685
Ho Zr In
6 1 1
direct
0.0000 0.0000 0.0000
0.0000 0.0000 0.5000
0.0000 0.5000 0.2468
0.0000 0.5000 0.7532
0.5000 0.0000 0.2468
0.5000 0.0000 0.7532
0.5000 0.5000 0.0000
0.5000 0.5000 0.5000

---

[4]
Ag2PW | the Alexandria database | GGA-PBE | relaxed; symmetry = P2/m (10); energy relative to the elements = 207 kJ/mol of formula units; N(E_F) = 2.99 states/eV/f.u.
1.0
2.7918 0.0000 0.0000
0.0000 4.8442 0.0000
-1.0192 0.0000 4.8853
Ag P W
2 1 1
direct
0.1761 0.0000 0.2577
0.8239 0.0000 0.7423
0.5000 0.5000 0.5000
0.5000 0.5000 0.0000

---

Going through the records in order, we get V values of 27.5, 24.1, 28.5, 16.5 Å³ per atom.